(1)
RbPmInSe3: relaxed, GGA-PBE.

Results
* symmetry: P2_1/m
* N(E_F): 1.17 states/eV/f.u.
* E: -4.340 eV per atom
* formation energy from raw total energies: -1.1880 eV/atom
* spin magnetization: 0.0 μB per cell

Lattice parameters (Å, degrees): 4.7240 9.0933 10.3539 107.42 90.00 90.00
Fractional coordinates of all 12 atoms:
Se  0.2500  0.7682  0.4505
Se  0.2500  0.5324  0.8477
Se  0.7500  0.8883  0.1449
Se  0.7500  0.4676  0.1523
Se  0.2500  0.1117  0.8551
Se  0.7500  0.2318  0.5495
In  0.2500  0.1093  0.5958
In  0.7500  0.8907  0.4042
Pm  0.2500  0.6661  0.1353
Pm  0.7500  0.3339  0.8647
Rb  0.2500  0.2156  0.2353
Rb  0.7500  0.7844  0.7647

(2)
Rb3Pm3InSe8: relaxed, GGA-PBE.

Results
* symmetry: R-3m
* N(E_F): 14.46 states/eV/f.u.
* E: -4.583 eV per atom
* formation energy from raw total energies: -1.3983 eV/atom
* spin magnetization: 0.0 μB per cell

Lattice parameters (Å, degrees): 8.4902 8.4903 9.5845 116.29 90.00 120.00
Fractional coordinates of all 15 atoms:
Rb  0.5000  0.5000  0.0000
Rb  0.0000  0.5000  0.0000
Rb  0.0000  0.0000  0.0000
Pm  0.5000  0.5000  0.5000
Pm  0.0000  0.5000  0.5000
Pm  0.5000  0.0000  0.5000
Se  0.2665  0.5331  0.2997
Se  0.7748  0.5495  0.3067
Se  0.7335  0.4669  0.7003
Se  0.2256  0.9680  0.6936
Se  0.2576  0.0320  0.3064
Se  0.7424  0.9680  0.6936
Se  0.2252  0.4505  0.6933
Se  0.7744  0.0320  0.3064
In  0.0000  0.0000  0.5000

(3)
Rb3Pm2InTe6: relaxed, GGA-PBE.

Results
* symmetry: C2/m
* E: -3.942 eV per atom
* formation energy from raw total energies: -1.1092 eV/atom
* spin magnetization: 0.0 μB per cell

Lattice parameters (Å, degrees): 7.9405 7.9405 8.9769 98.50 98.50 120.00
Fractional coordinates of all 12 atoms:
Te  0.3887  0.0662  0.1991
Te  0.6113  0.9338  0.8009
Te  0.9338  0.6113  0.8009
Te  0.0662  0.3887  0.1991
Te  0.2557  0.2557  0.7994
Te  0.7443  0.7443  0.2006
Rb  0.8304  0.1696  0.5000
Rb  0.5000  0.5000  0.5000
Rb  0.1696  0.8304  0.5000
Pm  0.6662  0.3338  0.0000
Pm  0.3338  0.6662  0.0000
In  0.0000  0.0000  0.0000

(4)
Pm4InRe: relaxed, GGA-PBE.

Results
* calculated formation energy: -0.135 eV/atom
* symmetry: C2/c
* N(E_F): 6.22 states/eV/f.u.
* E: -5.833 eV per atom
* spin magnetization: 0.0 μB per cell

Lattice parameters (Å, degrees): 6.2642 8.1260 8.1260 113.41 100.01 100.01
Fractional coordinates of all 12 atoms:
Pm  0.8820  0.6433  0.7956
Pm  0.5508  0.2794  0.9411
Pm  0.1180  0.3567  0.2044
Pm  0.9492  0.0589  0.7206
Pm  0.4492  0.7206  0.0589
Pm  0.0508  0.9411  0.2794
Pm  0.6180  0.2044  0.3567
Pm  0.3820  0.7956  0.6433
Re  0.7500  0.9997  0.0003
Re  0.2500  0.0003  0.9997
In  0.7500  0.6230  0.3770
In  0.2500  0.3770  0.6230

(5)
PmInRe: relaxed, GGA-PBE.

Results
* calculated formation energy: -0.050 eV/atom
* symmetry: P-1
* N(E_F): 2.02 states/eV/f.u.
* E: -6.696 eV per atom
* spin magnetization: 0.0 μB per cell

Lattice parameters (Å, degrees): 3.2229 3.1845 16.5963 90.41 125.73 90.00
Fractional coordinates of all 6 atoms:
In  0.4857  0.7603  0.9113
In  0.5143  0.2397  0.0887
Re  0.6002  0.2482  0.4502
Re  0.3998  0.7518  0.5498
Pm  0.6129  0.7406  0.2885
Pm  0.3871  0.2594  0.7115

(6)
Pm2In2Rh3: relaxed, GGA-PBE.

Results
* calculated formation energy: -0.605 eV/atom
* symmetry: C2/m
* N(E_F): 3.95 states/eV/f.u.
* E: -5.895 eV per atom
* spin magnetization: 0.0 μB per cell

Lattice parameters (Å, degrees): 4.3905 7.1416 5.4523 104.50 113.74 90.00
Fractional coordinates of all 7 atoms:
Rh  0.0000  0.0000  0.0000
Rh  0.6737  0.2264  0.3475
Rh  0.3263  0.7736  0.6525
In  0.1245  0.4193  0.2490
In  0.8755  0.5807  0.7510
Pm  0.6264  0.8184  0.2529
Pm  0.3736  0.1816  0.7471

(7)
PmIn2Rh: relaxed, GGA-PBE.

Results
* calculated formation energy: -0.613 eV/atom
* symmetry: Cmcm
* N(E_F): 1.87 states/eV/f.u.
* E: -5.008 eV per atom
* spin magnetization: 0.0 μB per cell

Lattice parameters (Å, degrees): 4.4175 5.5514 8.0825 90.00 90.00 113.45
Fractional coordinates of all 8 atoms:
Pm  0.9331  0.8662  0.2500
Pm  0.0669  0.1338  0.7500
In  0.6457  0.2914  0.0504
In  0.6457  0.2914  0.4496
In  0.3543  0.7086  0.5504
In  0.3543  0.7086  0.9496
Rh  0.7838  0.5675  0.7500
Rh  0.2162  0.4325  0.2500

(8)
Pm7InRh2: relaxed, GGA-PBE.

Results
* calculated formation energy: -0.211 eV/atom
* symmetry: Cmmm
* N(E_F): 8.67 states/eV/f.u.
* E: -5.281 eV per atom
* spin magnetization: 0.0 μB per cell

Lattice parameters (Å, degrees): 5.3014 8.3360 8.3360 113.28 90.00 90.00
Fractional coordinates of all 10 atoms:
Pm  0.5000  0.5000  0.5000
Pm  0.5000  0.3102  0.0557
Pm  0.5000  0.9443  0.6898
Pm  0.0000  0.2862  0.7138
Pm  0.0000  0.7138  0.2862
Pm  0.5000  0.0557  0.3102
Pm  0.5000  0.6898  0.9443
Rh  0.5000  0.7022  0.2978
Rh  0.5000  0.2978  0.7022
In  0.0000  0.0000  0.0000

(9)
Pm4In2Rh: relaxed, GGA-PBE.

Results
* calculated formation energy: -0.285 eV/atom
* symmetry: I4/mmm
* N(E_F): 5.40 states/eV/f.u.
* E: -4.832 eV per atom
* spin magnetization: 0.0 μB per cell

Lattice parameters (Å, degrees): 5.3646 5.3646 8.8024 107.74 107.74 90.00
Fractional coordinates of all 7 atoms:
Pm  0.8203  0.8203  0.6406
Pm  0.1797  0.1797  0.3594
Pm  0.5000  0.0000  0.0000
Pm  0.0000  0.5000  0.0000
In  0.6255  0.6255  0.2509
In  0.3745  0.3745  0.7491
Rh  0.0000  0.0000  0.0000

(10)
PmIn2Rh3: relaxed, GGA-PBE.

Results
* calculated formation energy: -0.566 eV/atom
* symmetry: P-3m1
* N(E_F): 2.47 states/eV/f.u.
* E: -5.946 eV per atom
* spin magnetization: 0.0 μB per cell

Lattice parameters (Å, degrees): 4.6960 4.6960 11.5804 90.00 90.00 120.00
Fractional coordinates of all 12 atoms:
Rh  0.0000  0.0000  0.7650
Rh  0.0000  0.0000  0.2350
Rh  0.3333  0.6667  0.9253
Rh  0.6667  0.3333  0.0747
Rh  0.6667  0.3333  0.5832
Rh  0.3333  0.6667  0.4168
In  0.6667  0.3333  0.8357
In  0.0000  0.0000  0.0000
In  0.3333  0.6667  0.1643
In  0.0000  0.0000  0.5000
Pm  0.6667  0.3333  0.3289
Pm  0.3333  0.6667  0.6711

(11)
PmInRh: relaxed, GGA-PBE.

Results
* calculated formation energy: -0.337 eV/atom
* symmetry: I4/mmm
* N(E_F): 1.67 states/eV/f.u.
* E: -5.284 eV per atom
* spin magnetization: 0.0 μB per cell

Lattice parameters (Å, degrees): 3.9565 3.9565 10.8853 100.47 100.47 90.00
Fractional coordinates of all 6 atoms:
Pm  0.1689  0.1689  0.3377
Pm  0.8311  0.8311  0.6623
In  0.5666  0.5666  0.1333
In  0.4334  0.4334  0.8667
Rh  0.3067  0.3067  0.6135
Rh  0.6933  0.6933  0.3865

(12)
Pm6In3Rh: relaxed, GGA-PBE.

Results
* calculated formation energy: -0.412 eV/atom
* symmetry: P2_1/m
* N(E_F): 9.27 states/eV/f.u.
* E: -4.819 eV per atom
* spin magnetization: 0.0 μB per cell

Lattice parameters (Å, degrees): 5.3726 9.4208 11.6537 107.17 90.00 90.00
Fractional coordinates of all 20 atoms:
Rh  0.2500  0.9597  0.5963
Rh  0.7500  0.0403  0.4037
Pm  0.2500  0.0952  0.8606
Pm  0.7500  0.7816  0.5012
Pm  0.7500  0.5419  0.9146
Pm  0.2500  0.2184  0.4988
Pm  0.7500  0.9048  0.1394
Pm  0.2500  0.1284  0.1522
Pm  0.7500  0.1481  0.6746
Pm  0.2500  0.6850  0.6670
Pm  0.7500  0.8716  0.8478
Pm  0.7500  0.3150  0.3330
Pm  0.2500  0.8519  0.3254
Pm  0.2500  0.4581  0.0854
In  0.2500  0.7720  0.9754
In  0.7500  0.6014  0.2188
In  0.7500  0.4833  0.6211
In  0.7500  0.2280  0.0246
In  0.2500  0.3986  0.7812
In  0.2500  0.5167  0.3789

(13)
Pm2In3Rh2: relaxed, GGA-PBE.

Results
* calculated formation energy: -0.535 eV/atom
* symmetry: C2/m
* N(E_F): 4.52 states/eV/f.u.
* E: -5.166 eV per atom
* spin magnetization: 0.0 μB per cell

Lattice parameters (Å, degrees): 4.4264 5.7204 7.0923 99.89 90.00 112.76
Fractional coordinates of all 7 atoms:
Pm  0.3779  0.7558  0.6393
Pm  0.6221  0.2442  0.3607
In  0.3025  0.6050  0.1421
In  0.0000  0.0000  0.0000
In  0.6975  0.3950  0.8579
Rh  0.0963  0.1926  0.6545
Rh  0.9037  0.8074  0.3455

(14)
Pm2InRh3: relaxed, GGA-PBE.

Results
* calculated formation energy: -0.407 eV/atom
* symmetry: Immm
* N(E_F): 3.55 states/eV/f.u.
* E: -6.123 eV per atom
* spin magnetization: 0.0 μB per cell

Lattice parameters (Å, degrees): 4.6884 5.5212 6.1917 116.48 112.25 90.00
Fractional coordinates of all 6 atoms:
In  0.0000  0.5000  0.0000
Rh  0.6387  0.6387  0.2774
Rh  0.0000  0.0000  0.0000
Rh  0.3613  0.3613  0.7226
Pm  0.3206  0.8206  0.6412
Pm  0.6794  0.1794  0.3588

(15)
Pm7InRh4: relaxed, GGA-PBE.

Results
* calculated formation energy: -0.373 eV/atom
* symmetry: C2/m
* N(E_F): 9.11 states/eV/f.u.
* E: -5.823 eV per atom
* spin magnetization: 0.0 μB per cell

Lattice parameters (Å, degrees): 5.7309 8.6309 7.3752 75.27 67.14 70.61
Fractional coordinates of all 12 atoms:
Rh  0.4356  0.7754  0.3534
Rh  0.7017  0.6599  0.9366
Rh  0.5644  0.2246  0.6466
Rh  0.2983  0.3401  0.0634
Pm  0.2054  0.1156  0.4735
Pm  0.9220  0.3794  0.7767
Pm  0.7946  0.8844  0.5265
Pm  0.6797  0.3697  0.2710
Pm  0.0780  0.6206  0.2233
Pm  0.5000  0.0000  0.0000
Pm  0.3203  0.6303  0.7290
In  0.0000  0.0000  0.0000

(16)
Pm3In4Rh4: relaxed, GGA-PBE.

Results
* calculated formation energy: -0.600 eV/atom
* symmetry: Immm
* N(E_F): 7.57 states/eV/f.u.
* E: -5.565 eV per atom
* spin magnetization: 0.0 μB per cell

Lattice parameters (Å, degrees): 3.9965 8.0207 8.8136 117.07 103.10 90.00
Fractional coordinates of all 11 atoms:
Rh  0.7659  0.2659  0.5319
Rh  0.5000  0.1999  0.0000
Rh  0.2341  0.7341  0.4681
Rh  0.5000  0.8001  0.0000
In  0.3298  0.5247  0.6597
In  0.6702  0.8651  0.3403
In  0.3298  0.1349  0.6597
In  0.6702  0.4753  0.3403
Pm  0.1146  0.1146  0.2292
Pm  0.8854  0.8854  0.7708
Pm  0.0000  0.5000  0.0000

(17)
Pm8In2Rh: relaxed, GGA-PBE.

Results
* calculated formation energy: -0.303 eV/atom
* symmetry: Immm
* N(E_F): 11.30 states/eV/f.u.
* E: -4.924 eV per atom
* spin magnetization: 0.0 μB per cell

Lattice parameters (Å, degrees): 5.6467 7.0903 9.3542 112.27 107.57 90.00
Fractional coordinates of all 11 atoms:
Pm  0.3741  0.1368  0.7482
Pm  0.0000  0.7538  0.0000
Pm  0.0000  0.2462  0.0000
Pm  0.6259  0.8632  0.2518
Pm  0.6259  0.3886  0.2518
Pm  0.8050  0.8050  0.6100
Pm  0.3741  0.6114  0.7482
Pm  0.1950  0.1950  0.3900
In  0.8146  0.3146  0.6291
In  0.1854  0.6854  0.3709
Rh  0.5000  0.0000  0.0000

(18)
Pm5In2Rh: relaxed, GGA-PBE.

Results
* calculated formation energy: -0.462 eV/atom
* symmetry: Pbam
* N(E_F): 6.02 states/eV/f.u.
* E: -5.035 eV per atom
* spin magnetization: 0.0 μB per cell

Lattice parameters (Å, degrees): 4.8798 7.7223 12.4902 90.00 90.00 90.00
Fractional coordinates of all 16 atoms:
Pm  0.0000  0.6299  0.7062
Pm  0.0000  0.8701  0.2062
Pm  0.0000  0.5000  0.0000
Pm  0.0000  0.0000  0.5000
Pm  0.5000  0.3163  0.5753
Pm  0.5000  0.6837  0.4247
Pm  0.0000  0.1299  0.7938
Pm  0.5000  0.8163  0.9247
Pm  0.5000  0.1837  0.0753
Pm  0.0000  0.3701  0.2938
Rh  0.0000  0.5000  0.5000
Rh  0.0000  0.0000  0.0000
In  0.5000  0.5850  0.1659
In  0.5000  0.0850  0.3341
In  0.5000  0.9150  0.6659
In  0.5000  0.4150  0.8341

(19)
Pm6InRh2: relaxed, GGA-PBE.

Results
* calculated formation energy: -0.501 eV/atom
* symmetry: Immm
* N(E_F): 7.80 states/eV/f.u.
* E: -5.606 eV per atom
* spin magnetization: 0.0 μB per cell

Lattice parameters (Å, degrees): 8.7268 8.7268 8.7268 104.67 110.63 113.23
Fractional coordinates of all 18 atoms:
Pm  0.6921  0.0208  0.3287
Pm  0.8895  0.7088  0.1807
Pm  0.6921  0.3634  0.6713
Pm  0.5281  0.7088  0.8193
Pm  0.4719  0.2912  0.1807
Pm  0.3079  0.9792  0.6713
Pm  0.2011  0.2355  0.4366
Pm  0.7989  0.7645  0.5634
Pm  0.2011  0.7645  0.9655
Pm  0.7989  0.2355  0.0345
Pm  0.3079  0.6366  0.3287
Pm  0.1105  0.2912  0.8193
Rh  0.6674  0.0000  0.6674
Rh  0.5000  0.3672  0.8672
Rh  0.3326  0.0000  0.3326
Rh  0.5000  0.6328  0.1328
In  0.0000  0.0000  0.0000
In  0.0000  0.5000  0.5000

(20)
PmIn2Rh: relaxed, GGA-PBE.

Results
* calculated formation energy: -0.383 eV/atom
* symmetry: P4/mmm
* N(E_F): 2.11 states/eV/f.u.
* E: -4.778 eV per atom
* spin magnetization: 0.0 μB per cell

Lattice parameters (Å, degrees): 4.9321 4.2827 4.2827 90.00 90.00 90.00
Fractional coordinates of all 4 atoms:
In  0.0000  0.0000  0.5000
In  0.0000  0.5000  0.0000
Rh  0.5000  0.0000  0.0000
Pm  0.5000  0.5000  0.5000